A relaxed Pr2Be3CoNi12 crystal. Source: Alexandria via LeMat-Bulk, functional PBE.

Structure (CIF):
```
data_Pr2Be3CoNi12
_symmetry_space_group_name_H-M 'R -3 m'
_symmetry_Int_Tables_number 166
_symmetry_space_group_name_Hall '-R 3 2"'
_cell_length_a 7.2915
_cell_length_b 7.2915
_cell_length_c 17.1079
_cell_angle_alpha 90.00
_cell_angle_beta 90.00
_cell_angle_gamma 120.00
loop_
_atom_site_label
_atom_site_fract_x
_atom_site_fract_y
_atom_site_fract_z
Pr1 0.0000 0.0000 0.1110
Be1 0.0000 0.5000 0.0000
Co1 0.0000 0.0000 0.5000
Ni1 0.0007 0.5004 0.1205
Ni2 0.0436 0.5218 0.3655
```


A relaxed BeCoNiRh crystal. Source: Alexandria via LeMat-Bulk, functional PBE.

Structure (CIF):
```
data_BeCoNiRh
_symmetry_space_group_name_H-M 'F -4 3 m'
_symmetry_Int_Tables_number 216
_symmetry_space_group_name_Hall 'F -4 2 3'
_cell_length_a 5.645
_cell_length_b 5.645
_cell_length_c 5.645
_cell_angle_alpha 90.00
_cell_angle_beta 90.00
_cell_angle_gamma 90.00
loop_
_atom_site_label
_atom_site_fract_x
_atom_site_fract_y
_atom_site_fract_z
Be1 0.000 0.000 0.000
Co1 0.000 0.000 0.500
Ni1 0.250 0.250 0.750
Rh1 0.250 0.250 0.250
```


A relaxed BeCoNiRu crystal. Source: Alexandria via LeMat-Bulk, functional PBE.

Structure (CIF):
```
data_BeCoNiRu
_symmetry_space_group_name_H-M 'F -4 3 m'
_symmetry_Int_Tables_number 216
_symmetry_space_group_name_Hall 'F -4 2 3'
_cell_length_a 5.632
_cell_length_b 5.632
_cell_length_c 5.632
_cell_angle_alpha 90.00
_cell_angle_beta 90.00
_cell_angle_gamma 90.00
loop_
_atom_site_label
_atom_site_fract_x
_atom_site_fract_y
_atom_site_fract_z
Be1 0.000 0.000 0.000
Co1 0.000 0.000 0.500
Ni1 0.250 0.250 0.250
Ru1 0.250 0.250 0.750
```


no.,size of the total moment (μB/atom),ΔH_f (0 K) (eV/f.u.)
1,0.19,5.262
2,0.74,-0.494
3,0.76,-0.036